Density functional theory data (GGA-PBEsol) for a relaxed structure of TcSnSe2N.

Unit cell a=3.889 b=5.259 c=5.259 alpha=90.00 beta=90.00 gamma=90.00
Each line ends with the local moment (μB).
Sites, in units of the cell vectors:
Se (0.000, 0.500, 0.000)  0.07
Tc (0.500, 0.500, 0.500)  3.76
Se (0.000, 0.000, 0.500)  0.07
Sn (0.000, 0.000, 0.000)  -0.01
N (0.500, 0.000, 0.000)  0.50

## Properties
Space group: P4/mmm (123)
Magnetization, μB per cell: 5.09
Total DFT energy (no corrections), eV/f.u.: -25.02
Formation energy (no corrections), eV/atom: 1.347



Density functional theory data (GGA-PBEsol) for a relaxed structure of SnWSeN2.

Unit cell a=4.040 b=4.040 c=5.202 alpha=90.00 beta=90.00 gamma=90.00
Each line ends with the local moment (μB).
Sites, in units of the cell vectors:
N (0.500, 0.000, 0.000)  -0.54
Se (0.000, 0.000, 0.500)  -0.04
W (0.500, 0.500, 0.500)  2.63
N (0.000, 0.500, 0.000)  -0.54
Sn (0.000, 0.000, 0.000)  0.04

## Properties
Space group: P4/mmm (123)
Magnetization, μB per cell: 1.90
Total DFT energy (no corrections), eV/f.u.: -29.69
Formation energy (no corrections), eV/atom: 1.857



Density functional theory data (GGA-PBEsol) for a relaxed structure of Sr3SeN.

Unit cell a=5.101 b=5.101 c=5.101 alpha=90.00 beta=90.00 gamma=90.00
Sites, in units of the cell vectors:
N (0.000, 0.000, 0.000)
Sr (0.000, 0.500, 0.000)
Sr (0.500, 0.000, 0.000)
Sr (0.000, 0.000, 0.500)
Se (0.500, 0.500, 0.500)

## Properties
Space group: Pm-3m (221)
Magnetization, μB per cell: 0.00
Total DFT energy (no corrections), eV/f.u.: -22.77
Formation energy (no corrections), eV/atom: -0.975



Density functional theory data (GGA-PBEsol) for a relaxed structure of SrSeN2.

Unit cell a=3.211 b=3.211 c=7.265 alpha=77.23 beta=77.23 gamma=60.00
Each line ends with the local moment (μB).
Sites, in units of the cell vectors:
N (0.115, 0.115, 0.654)  0.01
N (0.885, 0.885, 0.346)  0.01
Sr (0.000, 0.000, 0.000)  0.14
Se (0.500, 0.500, 0.500)  0.00

## Properties
Space group: R-3m (166)
Magnetization, μB per cell: 0.36
Total DFT energy (no corrections), eV/f.u.: -18.75
Formation energy (no corrections), eV/atom: 0.999



Density functional theory data (GGA-PBEsol) for a relaxed structure of SrWSeN2.

Unit cell a=4.030 b=4.030 c=5.057 alpha=90.00 beta=90.00 gamma=90.00
Sites, in units of the cell vectors:
N (0.000, 0.500, 0.000)
Se (0.000, 0.000, 0.500)
W (0.000, 0.000, 0.000)
N (0.500, 0.000, 0.000)
Sr (0.500, 0.500, 0.500)

## Properties
Space group: P4/mmm (123)
Magnetization, μB per cell: 0.00
Total DFT energy (no corrections), eV/f.u.: -39.38
Formation energy (no corrections), eV/atom: -0.567



Density functional theory data (GGA-PBEsol) for a relaxed structure of Ta3SeN.

Unit cell a=4.219 b=4.219 c=4.219 alpha=90.00 beta=90.00 gamma=90.00
Sites, in units of the cell vectors:
N (0.000, 0.000, 0.000)
Ta (0.000, 0.000, 0.500)
Se (0.500, 0.500, 0.500)
Ta (0.500, 0.000, 0.000)
Ta (0.000, 0.500, 0.000)

## Properties
Space group: Pm-3m (221)
Magnetization, μB per cell: 0.00
Total DFT energy (no corrections), eV/f.u.: -51.08
Excess energy over the best structure of this formula in the dataset, eV/atom: 0.000
Formation energy (no corrections), eV/atom: -0.209



Density functional theory data (GGA-PBEsol) for a relaxed structure of TaSe2N.

Unit cell a=3.439 b=3.439 c=7.159 alpha=76.10 beta=76.10 gamma=60.00
Sites, in units of the cell vectors:
Se (0.086, 0.086, 0.742)
Se (0.914, 0.914, 0.258)
N (0.000, 0.000, 0.000)
Ta (0.500, 0.500, 0.500)

## Properties
Space group: R-3m (166)
Magnetization, μB per cell: 0.00
Total DFT energy (no corrections), eV/f.u.: -27.02
Formation energy (no corrections), eV/atom: 0.441



Density functional theory data (GGA-PBEsol) for a relaxed structure of TaTe2SeN.

Unit cell a=3.573 b=5.408 c=5.408 alpha=90.00 beta=90.00 gamma=90.00
Each line ends with the local moment (μB).
Sites, in units of the cell vectors:
Se (0.000, 0.000, 0.000)  0.02
N (0.500, 0.000, 0.000)  -0.05
Ta (0.500, 0.500, 0.500)  0.91
Te (0.000, 0.500, 0.000)  -0.06
Te (0.000, 0.000, 0.500)  -0.06

## Properties
Space group: P4/mmm (123)
Magnetization, μB per cell: 1.19
Total DFT energy (no corrections), eV/f.u.: -25.94
Formation energy (no corrections), eV/atom: 1.208